Record 1
Here is NiPbAu2 after structural relaxation from Alexandria. Energies are from GGA-PBE.

Properties
* DOS at the Fermi energy: 0.71 states/eV/atom
* spin magnetization: 0.00 μB/cell
* ΔE_f: 0.18 eV/atom
* space group: No. 119

POSCAR file:
```
NiPbAu2
1.0
-2.1112 2.1112 4.1902
2.1112 -2.1112 4.1902
2.1112 2.1112 -4.1902
Ni Pb Au
1 1 2
Direct
0.0000 0.0000 0.0000 Ni
0.2500 0.7500 0.5000 Pb
0.5000 0.5000 0.0000 Au
0.7500 0.2500 0.5000 Au
```



Record 2
Here is La4ErTm15 after structural relaxation from Alexandria. Energies are from GGA-PBE.

Properties
* DOS at the Fermi energy: 1.59 states/eV/atom
* spin magnetization: 0.00 μB/cell
* ΔE_f: 0.04 eV/atom
* space group: No. 123

POSCAR file:
```
La4ErTm15
1.0
5.0255 0.0000 0.0000
0.0000 5.0255 0.0000
0.0000 0.0000 24.9481
La Er Tm
4 1 15
Direct
0.0000 0.0000 0.1008 La
0.0000 0.0000 0.3004 La
0.0000 0.0000 0.6996 La
0.0000 0.0000 0.8992 La
0.0000 0.0000 0.5000 Er
0.0000 0.5000 0.0000 Tm
0.0000 0.5000 0.2012 Tm
0.0000 0.5000 0.4031 Tm
0.0000 0.5000 0.5969 Tm
0.0000 0.5000 0.7988 Tm
0.5000 0.0000 0.0000 Tm
0.5000 0.0000 0.2012 Tm
0.5000 0.0000 0.4031 Tm
0.5000 0.0000 0.5969 Tm
0.5000 0.0000 0.7988 Tm
0.5000 0.5000 0.1005 Tm
0.5000 0.5000 0.3020 Tm
0.5000 0.5000 0.5000 Tm
0.5000 0.5000 0.6980 Tm
0.5000 0.5000 0.8995 Tm
```



Record 3
Here is SnAsN2 after structural relaxation from Alexandria. Energies are from GGA-PBE.

Properties
* formation energy (no corrections): 1.4125 eV per atom
* DOS at the Fermi energy: 0.42 states/eV/atom
* spin magnetization: 0.00 μB/cell
* space group: No. 225
* excess energy over the best structure of this formula in the dataset: 887 meV/atom

POSCAR file:
```
SnAsN2
1.0
0.0000 2.9362 2.9362
2.9362 0.0000 2.9362
2.9362 2.9362 0.0000
Sn As N
1 1 2
Direct
0.0000 0.0000 0.0000 Sn
0.5000 0.5000 0.5000 As
0.2500 0.2500 0.2500 N
0.7500 0.7500 0.7500 N
```



Record 4
Here is Pr2Ga4Ir3Pt after structural relaxation from Alexandria. Energies are from GGA-PBE.

Properties
* DOS at the Fermi energy: 0.47 states/eV/atom
* spin magnetization: 0.00 μB/cell
* ΔE_f: -0.76 eV/atom
* space group: No. 115

POSCAR file:
```
Pr2Ga4Ir3Pt
1.0
4.2711 0.0000 0.0000
0.0000 4.2711 0.0000
0.0000 0.0000 10.4893
Pr Ga Ir Pt
2 4 3 1
Direct
0.0000 0.5000 0.2470 Pr
0.5000 0.0000 0.7530 Pr
0.0000 0.0000 0.5000 Ga
0.0000 0.5000 0.8701 Ga
0.5000 0.0000 0.1299 Ga
0.5000 0.5000 0.5000 Ga
0.0000 0.0000 0.0000 Ir
0.0000 0.5000 0.6321 Ir
0.5000 0.0000 0.3679 Ir
0.5000 0.5000 0.0000 Pt
```



Record 5
Here is AcLaPmTh after structural relaxation from Alexandria. Energies are from GGA-PBE.

Properties
* DOS at the Fermi energy: 1.29 states/eV/atom
* spin magnetization: 0.00 μB/cell
* ΔE_f: 0.04 eV/atom
* space group: No. 99
* excess energy over the best structure of this formula in the dataset: 0 meV/atom

POSCAR file:
```
AcLaPmTh
1.0
3.6998 0.0000 0.0000
0.0000 3.6998 0.0000
0.0000 0.0000 10.7600
Ac La Pm Th
1 1 1 1
Direct
0.0000 0.0000 0.0000 Ac
0.5000 0.5000 0.7196 La
0.5000 0.5000 0.2687 Pm
0.0000 0.0000 0.4934 Th
```



Record 6
Here is Nb3NiC after structural relaxation from Alexandria. Energies are from GGA-PBE.

Properties
* DOS at the Fermi energy: 0.85 states/eV/atom
* spin magnetization: 0.00 μB/cell
* ΔE_f: -0.34 eV/atom
* space group: No. 63
* excess energy over the best structure of this formula in the dataset: 0 meV/atom

POSCAR file:
```
Nb3NiC
1.0
1.6198 -5.2434 0.0000
1.6198 5.2434 0.0000
0.0000 0.0000 8.4887
Nb Ni C
6 2 2
Direct
0.0572 0.9428 0.7500 Nb
0.3669 0.6331 0.5563 Nb
0.3669 0.6331 0.9437 Nb
0.6331 0.3669 0.0563 Nb
0.6331 0.3669 0.4437 Nb
0.9428 0.0572 0.2500 Nb
0.2535 0.7465 0.2500 Ni
0.7465 0.2535 0.7500 Ni
0.0000 0.0000 0.0000 C
0.0000 0.0000 0.5000 C
```



Record 7
Here is Rb2TaPI6 after structural relaxation from Alexandria. Energies are from GGA-PBE.

Properties
* formation energy (no corrections): -0.4104 eV per atom
* DOS at the Fermi energy: 0.56 states/eV/atom
* spin magnetization: 0.00 μB/cell
* space group: No. 139

POSCAR file:
```
Rb2TaPI6
1.0
-4.5102 4.5102 5.3795
4.5102 -4.5102 5.3795
4.5102 4.5102 -5.3795
Rb Ta P I
2 1 1 6
Direct
0.2500 0.7500 0.5000 Rb
0.7500 0.2500 0.5000 Rb
0.0000 0.0000 0.0000 Ta
0.5000 0.5000 0.0000 P
0.2230 0.2230 0.4460 I
0.2230 0.7770 0.0000 I
0.2553 0.2553 0.0000 I
0.7447 0.7447 0.0000 I
0.7770 0.2230 0.0000 I
0.7770 0.7770 0.5540 I
```



Record 8
Here is Tb2ReP after structural relaxation from Alexandria. Energies are from GGA-PBE.

Properties
* DOS at the Fermi energy: 0.95 states/eV/atom
* spin magnetization: 0.04 μB/cell
* ΔE_f: 0.38 eV/atom
* space group: No. 166

POSCAR file:
```
Tb2ReP
1.0
1.7556 1.0136 8.9573
-1.7556 1.0136 8.9573
0.0000 -2.0272 8.9573
Tb Re P
2 1 1
Direct
0.1004 0.1004 0.1004 Tb
0.8996 0.8996 0.8996 Tb
0.0000 0.0000 0.0000 Re
0.5000 0.5000 0.5000 P
```



Record 9
Here is Ti5SnN after structural relaxation from Alexandria. Energies are from GGA-PBE.

Properties
* formation energy (no corrections): -0.6486 eV per atom
* DOS at the Fermi energy: 0.58 states/eV/atom
* spin magnetization: 0.00 μB/cell
* space group: No. 71
* excess energy over the best structure of this formula in the dataset: 0 meV/atom

POSCAR file:
```
Ti5SnN
1.0
-2.2712 2.8865 4.1483
2.2712 -2.8865 4.1483
2.2712 2.8865 -4.1483
Ti Sn N
5 1 1
Direct
0.0000 0.0000 0.0000 Ti
0.0759 0.3283 0.7477 Ti
0.4194 0.6717 0.7477 Ti
0.5806 0.3283 0.2523 Ti
0.9241 0.6717 0.2523 Ti
0.5000 0.0000 0.5000 Sn
0.0000 0.5000 0.5000 N
```



Record 10
Here is UAs2PbO8 after structural relaxation from Alexandria. Energies are from GGA-PBE.

Properties
* formation energy (no corrections): -1.6927 eV per atom
* DOS at the Fermi energy: 0.32 states/eV/atom
* spin magnetization: 2.00 μB/cell
* space group: No. 164

POSCAR file:
```
UAs2PbO8
1.0
5.7074 0.0000 0.0000
-2.8537 4.9427 0.0000
0.0000 0.0000 7.3494
U As Pb O
1 2 1 8
Direct
0.0000 0.0000 0.0000 U
0.3333 0.6667 0.7139 As
0.6667 0.3333 0.2861 As
0.0000 0.0000 0.5000 Pb
0.1692 0.3384 0.8017 O
0.1692 0.8308 0.8017 O
0.3333 0.6667 0.4856 O
0.3384 0.1692 0.1983 O
0.6616 0.8308 0.8017 O
0.6667 0.3333 0.5144 O
0.8308 0.1692 0.1983 O
0.8308 0.6616 0.1983 O
```



Record 11
Here is TlSe2Br after structural relaxation from Alexandria. Energies are from GGA-PBE.

Properties
* formation energy (no corrections): -0.0487 eV per atom
* DOS at the Fermi energy: 0.25 states/eV/atom
* spin magnetization: 0.00 μB/cell
* space group: No. 166
* excess energy over the best structure of this formula in the dataset: 227 meV/atom

POSCAR file:
```
TlSe2Br
1.0
2.1723 1.2542 8.1016
-2.1723 1.2542 8.1016
0.0000 -2.5084 8.1016
Tl Se Br
1 2 1
Direct
0.0000 0.0000 0.0000 Tl
0.3935 0.3935 0.3935 Se
0.6065 0.6065 0.6065 Se
0.5000 0.5000 0.5000 Br
```



Copy entry 1 word for word.
Here is NiPbAu2 after structural relaxation from Alexandria. Energies are from GGA-PBE.

Properties
* DOS at the Fermi energy: 0.71 states/eV/atom
* spin magnetization: 0.00 μB/cell
* ΔE_f: 0.18 eV/atom
* space group: No. 119

POSCAR file:
```
NiPbAu2
1.0
-2.1112 2.1112 4.1902
2.1112 -2.1112 4.1902
2.1112 2.1112 -4.1902
Ni Pb Au
1 1 2
Direct
0.0000 0.0000 0.0000 Ni
0.2500 0.7500 0.5000 Pb
0.5000 0.5000 0.0000 Au
0.7500 0.2500 0.5000 Au
```